Crystalline Tl2ZnOs at its relaxed geometry. Source: Alexandria, functional PBE.

Output
* mass density: 13.7 Mg/m³
* symmetry: Pmmm, No. 47
* ΔE to the lowest computed polymorph: 318 meV per atom
* DOS at the Fermi energy: 2.274 states/eV/cell
* DFT total energy: -3.459 eV/atom
* calculated formation energy: 0.850 eV per atom

POSCAR file:
```
Tl2ZnOs
1.0
3.143 0.000 0.000
0.000 4.786 0.000
0.000 0.000 5.353
Tl Zn Os
2 1 1
direct
0.000 0.000 0.000 Tl
0.500 0.000 0.500 Tl
0.000 0.500 0.500 Zn
0.500 0.500 0.000 Os
```


Crystalline BH2Pt at its relaxed geometry. Source: Alexandria, functional PBE.

Output
* mass density: 10.0 Mg/m³
* symmetry: I4_1/amd, No. 141
* ΔE to the lowest computed polymorph: 0 meV per atom
* DOS at the Fermi energy: 1.159 states/eV/cell
* DFT total energy: -4.293 eV/atom

POSCAR file:
```
BH2Pt
1.0
-1.557 1.557 7.105
1.557 -1.557 7.105
1.557 1.557 -7.105
B H Pt
2 4 2
direct
0.375 0.625 0.750 B
0.625 0.375 0.250 B
0.000 0.000 0.000 H
0.000 0.000 0.500 H
0.000 0.500 0.000 H
0.500 0.000 0.500 H
0.125 0.875 0.250 Pt
0.875 0.125 0.750 Pt
```


Crystalline Hf6Ir2Rh at its relaxed geometry. Source: Alexandria, functional PBE.

Output
* mass density: 14.3 Mg/m³
* symmetry: P2_1/c, No. 14
* DOS at the Fermi energy: 14.130 states/eV/cell
* DFT total energy: -9.950 eV/atom
* calculated formation energy: -0.528 eV per atom

POSCAR file:
```
Hf6Ir2Rh
1.0
5.564 0.000 0.000
0.000 7.168 0.000
-5.512 0.000 9.047
Hf Ir Rh
12 4 2
direct
0.070 0.067 0.242 Hf
0.070 0.433 0.742 Hf
0.213 0.726 0.069 Hf
0.213 0.774 0.569 Hf
0.382 0.143 0.047 Hf
0.382 0.357 0.547 Hf
0.618 0.643 0.453 Hf
0.618 0.857 0.953 Hf
0.787 0.226 0.431 Hf
0.787 0.274 0.931 Hf
0.930 0.567 0.258 Hf
0.930 0.933 0.758 Hf
0.317 0.099 0.715 Ir
0.317 0.401 0.215 Ir
0.683 0.599 0.785 Ir
0.683 0.901 0.285 Ir
0.500 0.000 0.500 Rh
0.500 0.500 0.000 Rh
```


Crystalline LaAl2Ag3 at its relaxed geometry. Source: Alexandria, functional PBE.

Output
* mass density: 7.0 Mg/m³
* symmetry: Cmmm, No. 65
* DOS at the Fermi energy: 2.836 states/eV/cell
* DFT total energy: -3.828 eV/atom
* calculated formation energy: -0.333 eV per atom

POSCAR file:
```
LaAl2Ag3
1.0
2.766 -4.906 0.000
2.766 4.906 0.000
0.000 0.000 4.544
La Al Ag
1 2 3
direct
0.000 0.000 0.000 La
0.000 0.500 0.500 Al
0.500 0.000 0.500 Al
0.322 0.678 0.000 Ag
0.500 0.500 0.500 Ag
0.678 0.322 0.000 Ag
```


Crystalline BaAcAgBi at its relaxed geometry. Source: Alexandria, functional PBE.

Output
* mass density: 7.9 Mg/m³
* symmetry: F-43m, No. 216
* DOS at the Fermi energy: 4.186 states/eV/cell
* DFT total energy: -3.700 eV/atom
* calculated formation energy: -0.509 eV per atom

POSCAR file:
```
BaAcAgBi
1.0
0.000 4.150 4.150
4.150 0.000 4.150
4.150 4.150 0.000
Ba Ac Ag Bi
1 1 1 1
direct
0.000 0.000 0.000 Ba
0.500 0.500 0.500 Ac
0.250 0.250 0.250 Ag
0.750 0.750 0.750 Bi
```


Crystalline ZnBSb3 at its relaxed geometry. Source: Alexandria, functional PBE.

Output
* mass density: 5.2 Mg/m³
* symmetry: Pm-3m, No. 221
* formation energy (no corrections): 1.42 eV/atom
* ΔE to the lowest computed polymorph: 635 meV per atom
* DOS at the Fermi energy: 4.020 states/eV/cell
* DFT total energy: -2.648 eV/atom

POSCAR file:
```
ZnBSb3
1.0
5.201 0.000 0.000
0.000 5.201 0.000
0.000 0.000 5.201
Zn B Sb
1 1 3
direct
0.000 0.000 0.000 Zn
0.500 0.500 0.500 B
0.000 0.000 0.500 Sb
0.000 0.500 0.000 Sb
0.500 0.000 0.000 Sb
```


Crystalline BaTlCd2O4 at its relaxed geometry. Source: Alexandria, functional PBE.

Output
* mass density: 7.6 Mg/m³
* symmetry: Cmcm, No. 63
* formation energy (no corrections): -1.12 eV/atom
* DOS at the Fermi energy: 4.875 states/eV/cell
* DFT total energy: -4.367 eV/atom

POSCAR file:
```
BaTlCd2O4
1.0
1.745 -6.292 0.000
1.745 6.292 0.000
0.000 0.000 12.502
Ba Tl Cd O
2 2 4 8
direct
0.177 0.823 0.750 Ba
0.823 0.177 0.250 Ba
0.088 0.912 0.250 Tl
0.912 0.088 0.750 Tl
0.372 0.628 0.517 Cd
0.372 0.628 0.983 Cd
0.628 0.372 0.017 Cd
0.628 0.372 0.483 Cd
0.000 0.000 0.000 O
0.000 0.000 0.500 O
0.227 0.773 0.107 O
0.227 0.773 0.393 O
0.476 0.524 0.250 O
0.524 0.476 0.750 O
0.773 0.227 0.607 O
0.773 0.227 0.893 O
```


Crystalline YTm2F11 at its relaxed geometry. Source: Alexandria, functional PBE.

Output
* mass density: 4.6 Mg/m³
* symmetry: Ibam, No. 72
* formation energy (no corrections): -3.47 eV/atom
* DOS at the Fermi energy: 22.890 states/eV/cell
* DFT total energy: -6.041 eV/atom

POSCAR file:
```
YTm2F11
1.0
-4.116 5.061 5.533
4.116 -5.061 5.533
4.116 5.061 -5.533
Y Tm F
2 4 22
direct
0.250 0.250 0.000 Y
0.750 0.750 0.000 Y
0.189 0.657 0.846 Tm
0.311 0.157 0.468 Tm
0.689 0.843 0.532 Tm
0.811 0.343 0.154 Tm
0.000 0.500 0.500 F
0.030 0.961 0.275 F
0.056 0.343 0.133 F
0.186 0.461 0.931 F
0.197 0.390 0.587 F
0.210 0.923 0.867 F
0.290 0.157 0.713 F
0.303 0.890 0.193 F
0.314 0.245 0.275 F
0.444 0.577 0.287 F
0.470 0.745 0.931 F
0.500 0.000 0.500 F
0.530 0.255 0.069 F
0.556 0.423 0.713 F
0.686 0.755 0.725 F
0.697 0.110 0.807 F
0.710 0.843 0.287 F
0.790 0.077 0.133 F
0.803 0.610 0.413 F
0.814 0.539 0.069 F
0.944 0.657 0.867 F
0.970 0.039 0.725 F
```


Crystalline Na2GeTe4 at its relaxed geometry. Source: Alexandria, functional PBE.

Output
* mass density: 4.6 Mg/m³
* symmetry: I-42m, No. 121
* formation energy (no corrections): -0.27 eV/atom
* ΔE to the lowest computed polymorph: 0 meV per atom
* DOS at the Fermi energy: 2.772 states/eV/cell
* DFT total energy: -3.102 eV/atom

POSCAR file:
```
Na2GeTe4
1.0
-4.253 4.253 3.141
4.253 -4.253 3.141
4.253 4.253 -3.141
Na Ge Te
2 1 4
direct
0.250 0.750 0.500 Na
0.750 0.250 0.500 Na
0.000 0.000 0.000 Ge
0.075 0.075 0.450 Te
0.375 0.925 0.000 Te
0.625 0.625 0.550 Te
0.925 0.375 0.000 Te
```


Crystalline Ti2CuBiSb at its relaxed geometry. Source: Alexandria, functional PBE.

Output
* mass density: 6.4 Mg/m³
* symmetry: P4/mmm, No. 123
* formation energy (no corrections): 0.54 eV/atom
* DOS at the Fermi energy: 7.218 states/eV/cell
* DFT total energy: -5.039 eV/atom

POSCAR file:
```
Ti2CuBiSb
1.0
5.202 0.000 0.000
0.000 5.202 0.000
0.000 0.000 4.696
Ti Cu Bi Sb
2 1 1 1
direct
0.000 0.500 0.000 Ti
0.500 0.000 0.000 Ti
0.000 0.000 0.500 Cu
0.500 0.500 0.500 Bi
0.000 0.000 0.000 Sb
```


Crystalline BeIrPb2 at its relaxed geometry. Source: Alexandria, functional PBE.

Output
* mass density: 12.7 Mg/m³
* symmetry: Immm, No. 71
* DOS at the Fermi energy: 2.338 states/eV/cell
* DFT total energy: -4.341 eV/atom
* calculated formation energy: 0.660 eV per atom

POSCAR file:
```
BeIrPb2
1.0
-2.051 2.532 3.862
2.051 -2.532 3.862
2.051 2.532 -3.862
Be Ir Pb
1 1 2
direct
0.000 0.000 0.000 Be
0.500 0.500 0.000 Ir
0.239 0.739 0.500 Pb
0.761 0.261 0.500 Pb
```


Crystalline CoRh4 at its relaxed geometry. Source: Alexandria, functional PBE.

Output
* mass density: 9.2 Mg/m³
* symmetry: Pm-3m, No. 221
* ΔE to the lowest computed polymorph: 1174 meV per atom
* DOS at the Fermi energy: 9.835 states/eV/cell
* DFT total energy: -6.099 eV/atom
* calculated formation energy: 1.203 eV per atom

POSCAR file:
```
CoRh4
1.0
4.402 0.000 0.000
0.000 4.402 0.000
0.000 0.000 4.402
Co Rh
1 4
direct
0.000 0.000 0.000 Co
0.000 0.000 0.500 Rh
0.000 0.500 0.000 Rh
0.500 0.000 0.000 Rh
0.500 0.500 0.500 Rh
```


Which of these has the lowest DOS at the Fermi energy? BH2Pt


What is the formula in the third record? Hf6Ir2Rh


Look up the DOS at the Fermi energy of the eighth one. 22.890 states/eV/cell